## one
VASP calculation (PBE) on an optimized crystal structure of LiCu2Ag.

Structure (POSCAR):
```
LiCu2Ag
1.0
-0.931 0.222 -8.659
-3.370 -0.915 -7.982
-3.066 1.844 -7.943
Li Ag Cu
1 1 2
direct
0.505 0.505 0.505
0.749 0.749 0.749
0.252 0.252 0.252
0.994 0.994 0.994
```

Calculated volume   57 Å³ per cell
SG   R3m

---

## two
VASP calculation (PBE) on an optimized crystal structure of LiCu2Ag.

Structure (POSCAR):
```
LiCu2Ag
1.0
-1.388 -0.665 -4.454
1.643 -3.969 1.938
-2.511 -0.613 0.874
Ag Cu Li
1 2 1
direct
0.000 0.500 0.500
0.500 0.500 0.000
0.000 0.000 0.000
0.500 0.000 0.500
```

Calculated volume   56 Å³ per cell
SG   Cmmm

---

Which is most stable, and by how much? two, by 4.6 kJ/mol of atoms.

---

## one
VASP calculation (PBE) on an optimized crystal structure of LiCu2Ag.

Structure (POSCAR):
```
LiCu2Ag
1.0
3.745 0.000 0.000
0.000 2.704 -0.023
0.000 2.548 5.459
Li Cu Ag
1 2 1
direct
0.000 0.505 0.488
0.000 0.980 0.025
0.500 0.266 0.239
0.500 0.748 0.747
```

Calculated volume   55 Å³ per cell
SG   Pm

---

## two
VASP calculation (PBE) on an optimized crystal structure of LiCu2Ag.

Structure (POSCAR):
```
LiCu2Ag
1.0
2.725 0.000 0.000
0.000 2.725 0.000
0.000 0.000 7.647
Li Cu Ag
1 2 1
direct
0.500 0.500 0.250
0.000 0.000 0.490
0.000 0.000 0.010
0.500 0.500 0.750
```

Calculated volume   57 Å³ per cell
SG   P4/mmm

---

Which is most stable, and by how much? one, by 9.1 kJ/mol of atoms.

---

## one
VASP calculation (PBE) on an optimized crystal structure of LiCu2Ag.

Structure (POSCAR):
```
LiCu2Ag
1.0
-3.593 -1.481 -0.985
1.053 -0.203 -3.537
1.257 -3.429 0.571
Cu Ag Li
2 1 1
direct
0.000 0.500 0.500
0.000 0.000 0.000
0.500 0.000 0.500
0.500 0.500 0.000
```

Calculated volume   55 Å³ per cell
SG   P4/mmm

---

## two
VASP calculation (PBE) on an optimized crystal structure of LiCu2Ag.

Structure (POSCAR):
```
LiCu2Ag
1.0
-2.183 -2.969 2.221
-4.123 0.682 1.028
-3.103 -2.277 -1.925
Ag Cu Li
1 2 1
direct
0.500 0.500 0.500
0.750 0.750 0.750
0.250 0.250 0.250
0.000 0.000 0.000
```

Calculated volume   56 Å³ per cell
SG   Fm-3m

---

## three
VASP calculation (PBE) on an optimized crystal structure of LiCu2Ag.

Structure (POSCAR):
```
LiCu2Ag
1.0
2.675 -0.097 0.000
-1.021 2.474 0.000
0.000 0.000 8.802
Cu Li Ag
2 1 1
direct
0.000 0.000 0.489
0.000 0.000 0.011
0.500 0.500 0.250
0.500 0.500 0.750
```

Calculated volume   57 Å³ per cell
SG   Cmmm

---

Which is most stable, and by how much? one, by 4.3 kJ/mol of atoms.